Below is KNaSb3 after structural relaxation, with properties calculated at the PBE level.

The structure in CIF format:
```
data_KNaSb3
_symmetry_space_group_name_H-M 'P m -3 m'
_symmetry_Int_Tables_number 221
_symmetry_space_group_name_Hall '-P 4 2 3'
_cell_length_a 5.567
_cell_length_b 5.567
_cell_length_c 5.567
_cell_angle_alpha 90.00
_cell_angle_beta 90.00
_cell_angle_gamma 90.00
loop_
_atom_site_label
_atom_site_fract_x
_atom_site_fract_y
_atom_site_fract_z
K1 0.000 0.000 0.000
Na1 0.500 0.500 0.500
Sb1 0.000 0.500 0.500
```

Summary:
- raw formation energy (meV/atom) = 311
- polymorph energy (0 for the lowest one) (meV/atom) = 375